A plane-wave DFT calculation with PBE was carried out for a relaxed SmTlOs2O8 crystal.

Space-group type ... No. 147

Cell: 6.095 6.095 7.832 Å, 90.00 90.00 120.00°
Fractional positions:
Sm 0.000 0.000 0.000
Tl 0.000 0.000 0.500
Os 0.333 0.667 0.265
Os 0.667 0.333 0.735
O 0.167 0.343 0.184
O 0.176 0.833 0.184
O 0.333 0.667 0.490
O 0.343 0.176 0.816
O 0.657 0.824 0.184
O 0.667 0.333 0.510
O 0.824 0.167 0.816
O 0.833 0.657 0.816

---

A plane-wave DFT calculation with PBE was carried out for a relaxed Sm2Tl2OsO6 crystal.

Space-group type ... No. 12

Cell: 5.944 5.944 7.187 Å, 91.57 91.57 120.58°
Fractional positions:
Sm 0.164 0.836 0.000
Sm 0.836 0.164 0.000
Tl 0.347 0.653 0.500
Tl 0.653 0.347 0.500
Os 0.500 0.500 0.000
O 0.199 0.494 0.854
O 0.218 0.218 0.147
O 0.494 0.199 0.854
O 0.506 0.801 0.146
O 0.782 0.782 0.853
O 0.801 0.506 0.146

---

A plane-wave DFT calculation with PBE was carried out for a relaxed SmTl2OsO6 crystal.

Space-group type ... No. 164

Cell: 6.426 6.426 5.914 Å, 90.00 90.00 120.00°
Fractional positions:
Sm 0.000 0.000 0.000
Tl 0.333 0.667 0.462
Tl 0.667 0.333 0.538
Os 0.000 0.000 0.500
O 0.138 0.276 0.696
O 0.138 0.862 0.696
O 0.276 0.138 0.304
O 0.724 0.862 0.696
O 0.862 0.138 0.304
O 0.862 0.724 0.304

---

A plane-wave DFT calculation with PBE was carried out for a relaxed SmTlOsO6 crystal.

Space-group type ... No. 149

Cell: 5.753 5.753 5.536 Å, 90.00 90.00 120.00°
Fractional positions:
Sm 0.000 0.000 0.000
Tl 0.667 0.333 0.500
Os 0.333 0.667 0.000
O 0.080 0.388 0.197
O 0.080 0.692 0.803
O 0.308 0.388 0.803
O 0.308 0.920 0.197
O 0.612 0.692 0.197
O 0.612 0.920 0.803

---

A plane-wave DFT calculation with PBE was carried out for a relaxed SmTm2OsO8 crystal.

Space-group type ... No. 65

Cell: 5.014 5.014 6.783 Å, 90.00 90.00 90.25°
Fractional positions:
Sm 0.000 0.000 0.000
Tm 0.500 0.500 0.247
Tm 0.500 0.500 0.753
Os 0.000 0.000 0.500
O 0.187 0.187 0.294
O 0.187 0.187 0.706
O 0.266 0.734 0.500
O 0.315 0.685 0.000
O 0.685 0.315 0.000
O 0.734 0.266 0.500
O 0.813 0.813 0.294
O 0.813 0.813 0.706

---

A plane-wave DFT calculation with PBE was carried out for a relaxed SnOs2O crystal.

Excess energy over the best structure of this formula in the dataset ... 0.605 eV per atom
Space-group type ... No. 225

Cell: 6.173 6.173 6.173 Å, 90.00 90.00 90.00°
Fractional positions:
Sn 0.000 0.000 0.000
Sn 0.000 0.500 0.500
Sn 0.500 0.000 0.500
Sn 0.500 0.500 0.000
Os 0.250 0.250 0.250
Os 0.250 0.250 0.750
Os 0.250 0.750 0.250
Os 0.250 0.750 0.750
Os 0.750 0.250 0.250
Os 0.750 0.250 0.750
Os 0.750 0.750 0.250
Os 0.750 0.750 0.750
O 0.000 0.000 0.500
O 0.000 0.500 0.000
O 0.500 0.000 0.000
O 0.500 0.500 0.500

---

| no. | uncorrected formation energy (kJ/mol of formula units) | ρ (g cm⁻³) |
| --- | --- | --- |
| 1 | -1576 | 5.69 |
| 2 | -1911 | 7.58 |
| 3 | -1334 | 6.64 |
| 4 | -1337 | 6.71 |
| 5 | -2947 | 7.85 |
| 6 | 400 | 14.55 |